A relaxed structure of Be2AlSe. Source: Alexandria, functional PBE.

POSCAR file:
```
Be2AlSe
1.0
4.3620 -0.0274 0.0050
-1.4499 4.1141 0.0050
0.3698 0.5189 3.2137
Be Al Se
2 1 1
Cartesian
0.0000 0.0000 0.0000 Be
1.4561 2.0433 0.0050 Be
-0.5400 2.3165 1.6093 Al
2.3659 0.2458 1.6093 Se
```

Summary:
- calculated volume (Å³/f.u.) = 58
- final energy (eV/cell) = -13.06

A relaxed structure of BeAlSe3. Source: Alexandria, functional PBE.

POSCAR file:
```
BeAlSe3
1.0
-4.7551 -0.1807 -0.9364
0.7233 -3.7867 -2.9424
-0.6215 -3.0246 3.7397
Be Al Se
1 1 3
Cartesian
-2.3266 -3.4960 -0.0695 Be
0.0000 0.0000 0.0000 Al
0.3617 -1.8934 -1.4712 Se
-0.3108 -1.5123 1.8699 Se
-2.3775 -0.0903 -0.4682 Se
```

Summary:
- calculated volume (Å³/f.u.) = 114
- final energy (eV/cell) = -15.24

A relaxed structure of BeAlSe3. Source: Alexandria, functional PBE.

POSCAR file:
```
BeAlSe3
1.0
4.6158 0.0000 0.0000
0.0000 4.6158 0.0000
0.0000 0.0000 4.6158
Be Al Se
1 1 3
Cartesian
0.0000 0.0000 0.0000 Be
2.3079 2.3079 2.3079 Al
0.0000 2.3079 0.0000 Se
0.0000 0.0000 2.3079 Se
2.3079 0.0000 0.0000 Se
```

Summary:
- calculated volume (Å³/f.u.) = 98
- final energy (eV/cell) = -16.64

| no. | formation energy from raw total energies (eV/f.u.) | density (g/cm3) | polymorph energy (0 for the lowest one) (eV per formula unit) |
| --- | --- | --- | --- |
| 1 | 1.6 | 3.58 | 1.333 |
| 2 | 2.7 | 3.97 | 1.395 |
| 3 | 1.3 | 4.61 | 0.000 |